Entry 1:
VASP calculation (GGA-PBE) on a relaxed BeFe2Pb crystal.

Geometry as POSCAR:
```
BeFe2Pb
1.0
3.8022 0.0000 0.0000
0.0000 3.8022 0.0000
1.9011 1.9011 8.6859
Pb Be Fe
2 2 4
direct
0.0000 0.0000 0.0000 Pb
0.7500 0.2500 0.5000 Pb
0.5000 0.5000 0.0000 Be
0.2500 0.7500 0.5000 Be
0.1969 0.1250 0.2500 Fe
0.5531 0.6250 0.2500 Fe
0.3750 0.8031 0.7500 Fe
0.8750 0.4469 0.7500 Fe
```

Results
The symmetry is No. 122. As for the total DFT energy (no corrections): -5.375 eV per atom. The value obtained for the energy above the most stable polymorph in this dataset is 36.7 kJ/mol of atoms.

***

Entry 2:
VASP calculation (GGA-PBE) on a relaxed BeFe2Pb crystal.

Geometry as POSCAR:
```
BeFe2Pb
1.0
3.0730 0.0000 0.0000
0.0000 3.0730 0.0000
0.0000 0.0000 6.1582
Pb Be Fe
1 1 2
direct
0.0000 0.0000 0.4959 Pb
0.5000 0.5000 0.8354 Be
0.0000 0.0000 0.9788 Fe
0.5000 0.5000 0.1899 Fe
```

Results
The symmetry is No. 99. As for the total DFT energy (no corrections): -5.744 eV per atom. The value obtained for the energy above the most stable polymorph in this dataset is 1.1 kJ/mol of atoms.

***

Entry 3:
VASP calculation (GGA-PBE) on a relaxed BeFe2Pb crystal.

Geometry as POSCAR:
```
BeFe2Pb
1.0
3.5568 -1.9753 -1.1040
1.4515 -3.1923 2.3396
-0.1523 -3.9420 -1.4862
Pb Be Fe
1 1 2
direct
0.5000 0.5000 0.5000 Pb
0.0000 0.0000 0.0000 Be
0.2500 0.2500 0.2500 Fe
0.7500 0.7500 0.7500 Fe
```

Results
The symmetry is No. 225. As for the total DFT energy (no corrections): -5.479 eV per atom. The value obtained for the energy above the most stable polymorph in this dataset is 26.6 kJ/mol of atoms.

***

Entry 4:
VASP calculation (GGA-PBE) on a relaxed BeFe2Pb crystal.

Geometry as POSCAR:
```
BeFe2Pb
1.0
-3.3419 -2.0470 0.0371
-0.8942 -2.2474 3.0837
-3.5055 2.1125 2.9553
Pb Be Fe
1 1 2
direct
0.2500 0.2500 0.2500 Pb
0.7500 0.7500 0.7500 Be
0.0519 0.0519 0.8475 Fe
0.4481 0.4481 0.6525 Fe
```

Results
The symmetry is No. 12. As for the total DFT energy (no corrections): -5.747 eV per atom. The value obtained for the energy above the most stable polymorph in this dataset is 0.8 kJ/mol of atoms.

***

Entry 5:
VASP calculation (GGA-PBE) on a relaxed BeFePt2Pb crystal.

Geometry as POSCAR:
```
BeFePt2Pb
1.0
4.3288 0.0000 0.0000
0.0000 4.1488 0.0000
0.0000 0.0000 4.3288
Pb Be Fe Pt
1 1 1 2
direct
0.5000 0.5000 0.5000 Pb
0.0000 0.0000 0.0000 Be
0.0000 0.5000 0.0000 Fe
0.0000 0.0000 0.5000 Pt
0.5000 0.0000 0.0000 Pt
```

Results
The symmetry is No. 123. As for the total DFT energy (no corrections): -5.377 eV per atom.

***

Entry 6:
VASP calculation (GGA-PBE) on a relaxed BeFeRu2Pb crystal.

Geometry as POSCAR:
```
BeFeRu2Pb
1.0
-0.5023 1.4304 -3.9149
-4.4451 -0.1088 0.5306
0.0744 3.9456 1.4321
Pb Ru Fe Be
1 2 1 1
direct
0.0000 0.5000 0.0000 Pb
0.0000 0.0000 0.5000 Ru
0.5000 0.0000 0.0000 Ru
0.5000 0.5000 0.5000 Fe
0.0000 0.0000 0.0000 Be
```

Results
The symmetry is No. 123. As for the total DFT energy (no corrections): -5.993 eV per atom. The value obtained for the energy above the most stable polymorph in this dataset is 40.6 kJ/mol of atoms.

***

Entry 7:
VASP calculation (GGA-PBE) on a relaxed BeFeRu2Pb crystal.

Geometry as POSCAR:
```
BeFeRu2Pb
1.0
4.2756 0.0000 0.0000
0.0000 4.0709 0.0000
0.0000 0.0000 4.2756
Pb Ru Fe Be
1 2 1 1
direct
0.5000 0.5000 0.5000 Pb
0.0000 0.0000 0.5000 Ru
0.5000 0.0000 0.0000 Ru
0.0000 0.5000 0.0000 Fe
0.0000 0.0000 0.0000 Be
```

Results
The symmetry is No. 123. As for the total DFT energy (no corrections): -6.414 eV per atom. The value obtained for the energy above the most stable polymorph in this dataset is 0.0 kJ/mol of atoms.

***

Entry 8:
VASP calculation (GGA-PBE) on a relaxed BeTlFe2Pb crystal.

Geometry as POSCAR:
```
BeTlFe2Pb
1.0
-0.1215 2.6409 4.1966
-4.3644 -3.3454 1.9789
3.2964 -3.0928 2.0417
Pb Be Tl Fe
1 1 1 2
direct
0.0000 0.5000 0.0000 Pb
0.5000 0.5000 0.5000 Be
0.0000 0.0000 0.0000 Tl
0.0000 0.0000 0.5000 Fe
0.5000 0.0000 0.0000 Fe
```

Results
The symmetry is No. 123. As for the total DFT energy (no corrections): -3.539 eV per atom.

***

Among the records above, which one has the highest total DFT energy (no corrections)?
BeTlFe2Pb

***

Which of these has the lowest total DFT energy (no corrections)?
number 7